Entry 1:
The following is a PBE calculation of a relaxed Rb2As2Au3 crystal, from Alexandria via LeMat-Bulk.

Computed properties:
space-group type = C2/m
D(E_F) = 0.1515 states/eV/atom

abc: 7.0828 7.0828 7.0841
angles: 97.30 97.30 35.75
Fractional coordinates of all 7 atoms:
Rb  0.1148  0.1148  0.3491
Rb  0.8852  0.8852  0.6509
As  0.3766  0.3766  0.2330
As  0.6234  0.6234  0.7670
Au  0.2035  0.2035  0.9011
Au  0.5000  0.5000  0.0000
Au  0.7965  0.7965  0.0989

---

Entry 2:
The following is a PBE calculation of a relaxed Rb5As2Au crystal, from Alexandria via LeMat-Bulk.

Computed properties:
space-group type = R-3m

abc: 10.0684 10.0684 10.0684
angles: 34.88 34.88 34.88
Fractional coordinates of all 8 atoms:
Rb  0.0000  0.0000  0.0000
Rb  0.1332  0.1332  0.1332
Rb  0.2826  0.2826  0.2826
Rb  0.7174  0.7174  0.7174
Rb  0.8668  0.8668  0.8668
As  0.4104  0.4104  0.4104
As  0.5896  0.5896  0.5896
Au  0.5000  0.5000  0.5000

---

| no. | formation energy from the elements (eV per atom) | mass density (g cm⁻³) |
| --- | --- | --- |
| 1 | -0.393 | 7.36 |
| 2 | -0.384 | 4.32 |